Record 1
The following is a PBE calculation of a relaxed Pm12Sm7Th crystal, from Alexandria via LeMat-Bulk.

Cell lengths 8.9325, 8.9325, 8.9325 Å; angles 99.23, 99.23, 99.23 degrees
Closest atoms and distances in Å follow each position.
Element x y z (fractional)
Th  0.0000  0.0000  0.0000  6 Pm 3.52, 6 Sm 3.61
Sm  0.5925  0.8550  0.8546  6 Pm 3.51-3.88, 2 Sm 3.57, 1 Th 3.61
Sm  0.1450  0.1454  0.4075  6 Pm 3.51-3.88, 2 Sm 3.57, 1 Th 3.61
Pm  0.5921  0.5922  0.1606  1 Pm 3.12, 1 Sm 3.45
Pm  0.7413  0.9998  0.2587  4 Sm 3.51-3.59, 1 Th 3.52, 6 Pm 3.52-3.64
Sm  0.8550  0.8546  0.5925  6 Pm 3.51-3.88, 2 Sm 3.57, 1 Th 3.61
Pm  0.5922  0.1606  0.5921  1 Pm 3.12, 1 Sm 3.45
Sm  0.4075  0.1450  0.1454  6 Pm 3.51-3.88, 2 Sm 3.57, 1 Th 3.61
Pm  0.8394  0.4079  0.4078  1 Pm 3.12, 1 Sm 3.45
Pm  0.4079  0.4078  0.8394  1 Pm 3.12, 1 Sm 3.45
Pm  0.1606  0.5921  0.5922  1 Pm 3.12, 1 Sm 3.45
Sm  0.8546  0.5925  0.8550  6 Pm 3.51-3.88, 2 Sm 3.57, 1 Th 3.61
Pm  0.7413  0.2587  0.0002  4 Sm 3.51-3.59, 1 Th 3.52, 6 Pm 3.52-3.64
Pm  0.9998  0.2587  0.7413  4 Sm 3.51-3.59, 1 Th 3.52, 6 Pm 3.52-3.64
Pm  0.0002  0.7413  0.2587  4 Sm 3.51-3.59, 1 Th 3.52, 6 Pm 3.52-3.64
Sm  0.5000  0.5000  0.5000  6 Pm 3.45
Pm  0.2587  0.7413  0.9998  4 Sm 3.51-3.59, 1 Th 3.52, 6 Pm 3.52-3.64
Pm  0.4078  0.8394  0.4079  1 Pm 3.12, 1 Sm 3.45
Sm  0.1454  0.4075  0.1450  6 Pm 3.51-3.88, 2 Sm 3.57, 1 Th 3.61
Pm  0.2587  0.0002  0.7413  4 Sm 3.51-3.59, 1 Th 3.52, 6 Pm 3.52-3.64

Values from the calculation:
Formation energy from the elements = 90.3 meV per atom
Space group = No. 166
Final energy = -4.783 eV/atom
Mass density = 7.37 g/cm³

Record 2
The following is a PBE calculation of a relaxed ZrTi2BCl crystal, from Alexandria via LeMat-Bulk.

Cell lengths 4.2969, 4.8188, 4.2969 Å; angles 90.00, 90.00, 90.00 degrees
Closest atoms and distances in Å follow each position.
Element x y z (fractional)
B  0.5000  0.5000  0.5000  4 Zr 3.04, 8 Ti 3.23
Cl  0.0000  0.0000  0.0000  4 Ti 2.15
Ti  0.0000  0.0000  0.5000  2 Cl 2.15
Ti  0.5000  0.0000  0.0000  2 Cl 2.15
Zr  0.0000  0.5000  0.0000  2 Cl 2.41

Values from the calculation:
E_form (uncorrected) = 0.664 eV/atom
Space group = No. 123
Final energy = -5.908 eV/atom
Mass density = 4.35 g/cm³

Record 3
The following is a PBE calculation of a relaxed KCu4As2 crystal, from Alexandria via LeMat-Bulk.

Cell lengths 9.0249, 9.0249, 9.0249 Å; angles 26.51, 26.51, 26.51 degrees
Closest atoms and distances in Å follow each position.
Element x y z (fractional)
As  0.2409  0.2409  0.2409  4 Cu 2.45-2.48
Cu  0.8540  0.8540  0.8540  4 As 2.48-2.77, 6 Cu 2.53-2.62
As  0.7591  0.7591  0.7591  4 Cu 2.45-2.48
Cu  0.1460  0.1460  0.1460  4 As 2.48-2.77, 6 Cu 2.53-2.62
Cu  0.4472  0.4472  0.4472  3 As 2.45, 3 Cu 2.53
Cu  0.5528  0.5528  0.5528  3 As 2.45, 3 Cu 2.53
K  0.0000  0.0000  0.0000  6 As 3.40

Values from the calculation:
Formation energy from the elements = -190.2 meV per atom
Space group = No. 166
Final energy = -4.016 eV/atom
Mass density = 5.70 g/cm³

Record 4
The following is a PBE calculation of a relaxed Hf5BiB crystal, from Alexandria via LeMat-Bulk.

Cell lengths 5.8298, 5.8298, 10.0412 Å; angles 74.82, 74.82, 64.83 degrees
Closest atoms and distances in Å follow each position.
Element x y z (fractional)
Bi  0.5606  0.4394  0.7500  10 Hf 2.93-3.20
Hf  0.3813  0.0385  0.3748  1 B 2.32
Hf  0.0385  0.3813  0.8748  1 B 2.32
Hf  0.5526  0.1986  0.0458  1 B 2.33
B  0.0000  0.0000  0.0000  6 Hf 2.32-2.53
Hf  0.8014  0.4474  0.4542  1 B 2.33
Hf  0.0550  0.9450  0.7500  2 B 2.53
Hf  0.6187  0.9615  0.6252  1 B 2.32
Hf  0.1986  0.5526  0.5458  1 B 2.33
Bi  0.4394  0.5606  0.2500  10 Hf 2.93-3.20
B  0.0000  0.0000  0.5000  6 Hf 2.32-2.53
Hf  0.9615  0.6187  0.1252  1 B 2.32
Hf  0.4474  0.8014  0.9542  1 B 2.33
Hf  0.9450  0.0550  0.2500  2 B 2.53

Values from the calculation:
Formation energy from the elements = -10.6 meV per atom
Space group = No. 15
Final energy = -8.629 eV/atom
Mass density = 12.58 g/cm³

Record 5
The following is a PBE calculation of a relaxed Ta3CrBi crystal, from Alexandria via LeMat-Bulk.

Cell lengths 4.7080, 4.7080, 4.7080 Å; angles 90.00, 90.00, 90.00 degrees
Closest atoms and distances in Å follow each position.
Element x y z (fractional)
Ta  0.5000  0.0000  0.0000  2 Cr 2.35
Ta  0.0000  0.5000  0.0000  2 Cr 2.35
Cr  0.0000  0.0000  0.0000  6 Ta 2.35
Bi  0.5000  0.5000  0.5000  12 Ta 3.33
Ta  0.0000  0.0000  0.5000  2 Cr 2.35

Values from the calculation:
Formation energy from the elements = 875.1 meV per atom
Space group = No. 221
Final energy = -8.937 eV/atom
Mass density = 12.79 g/cm³

Record 6
The following is a PBE calculation of a relaxed AcLa2Rh crystal, from Alexandria via LeMat-Bulk.

Cell lengths 4.0034, 6.5796, 10.3425 Å; angles 90.00, 90.00, 107.74 degrees
Closest atoms and distances in Å follow each position.
Element x y z (fractional)
Ac  0.9165  0.8331  0.2500  2 Rh 3.17-3.18
La  0.3575  0.7143  0.5692  2 Rh 2.90-2.91
Ac  0.0835  0.1669  0.7500  2 Rh 3.17-3.18
Rh  0.7796  0.5598  0.7500  4 La 2.90-2.91, 2 Ac 3.17-3.18
Rh  0.2204  0.4402  0.2500  4 La 2.90-2.91, 2 Ac 3.17-3.18
La  0.6425  0.2857  0.0692  2 Rh 2.90-2.91
La  0.6425  0.2857  0.4308  2 Rh 2.90-2.91
La  0.3575  0.7143  0.9308  2 Rh 2.90-2.91

Values from the calculation:
Formation energy from the elements = -431.1 meV per atom
Space group = No. 63
Final energy = -5.760 eV/atom
Mass density = 7.78 g/cm³